Entry 1:
# RbAgMoSeS2 | the Open Quantum Materials Database | PBE-GGA | optimized geometry
data_RbAgMoSeS2
_chemical_formula_sum 'Rb4 Ag4 Mo4 Se4 S8'
_cell_length_a 3.795
_cell_length_b 15.495
_cell_length_c 10.113
_cell_angle_alpha 90.00
_cell_angle_beta 90.00
_cell_angle_gamma 90.00
_symmetry_space_group_name_H-M 'C m c m'
_symmetry_Int_Tables_number 63
_symmetry_space_group_name_Hall '-C 2c 2'
loop_
_atom_site_label
_atom_site_fract_x
_atom_site_fract_y
_atom_site_fract_z
_atom_site_occupancy
Rb1 0.000 0.243 0.250 1
Ag1 0.000 0.453 0.750 1
Mo1 0.000 0.000 0.000 1
Se1 0.000 0.071 0.750 1
S1 0.000 0.394 0.528 1
# final energy: -115.81 eV/cell



Entry 2:
# RbAgTeMoS2 | the Open Quantum Materials Database | PBE-GGA | optimized geometry
data_RbAgTeMoS2
_chemical_formula_sum 'Rb4 Ag4 Te4 Mo4 S8'
_cell_length_a 3.794
_cell_length_b 16.346
_cell_length_c 10.414
_cell_angle_alpha 90.00
_cell_angle_beta 90.00
_cell_angle_gamma 90.00
_symmetry_space_group_name_H-M 'C m c m'
_symmetry_Int_Tables_number 63
_symmetry_space_group_name_Hall '-C 2c 2'
loop_
_atom_site_label
_atom_site_fract_x
_atom_site_fract_y
_atom_site_fract_z
_atom_site_occupancy
Rb1 0.000 0.220 0.250 1
Ag1 0.000 0.462 0.750 1
Te1 0.000 0.086 0.750 1
Mo1 0.000 0.000 0.000 1
S1 0.000 0.401 0.537 1
# final energy: -113.14 eV/cell



Entry 3:
# RbAgMoSe3 | the Open Quantum Materials Database | PBE-GGA | optimized geometry
data_RbAgMoSe3
_chemical_formula_sum 'Rb4 Ag4 Mo4 Se12'
_cell_length_a 3.925
_cell_length_b 15.530
_cell_length_c 10.240
_cell_angle_alpha 90.00
_cell_angle_beta 90.00
_cell_angle_gamma 90.00
_symmetry_space_group_name_H-M 'C m c m'
_symmetry_Int_Tables_number 63
_symmetry_space_group_name_Hall '-C 2c 2'
loop_
_atom_site_label
_atom_site_fract_x
_atom_site_fract_y
_atom_site_fract_z
_atom_site_occupancy
Rb1 0.000 0.244 0.250 1
Ag1 0.000 0.456 0.750 1
Mo1 0.000 0.000 0.000 1
Se1 0.000 0.068 0.750 1
Se2 0.000 0.386 0.526 1
# final energy: -109.87 eV/cell



Entry 4:
# RbAgTe2MoSe | the Open Quantum Materials Database | PBE-GGA | optimized geometry
data_RbAgTe2MoSe
_chemical_formula_sum 'Rb4 Ag4 Te8 Mo4 Se4'
_cell_length_a 4.134
_cell_length_b 16.294
_cell_length_c 10.536
_cell_angle_alpha 90.00
_cell_angle_beta 90.00
_cell_angle_gamma 90.00
_symmetry_space_group_name_H-M 'C m c m'
_symmetry_Int_Tables_number 63
_symmetry_space_group_name_Hall '-C 2c 2'
loop_
_atom_site_label
_atom_site_fract_x
_atom_site_fract_y
_atom_site_fract_z
_atom_site_occupancy
Rb1 0.000 0.246 0.250 1
Ag1 0.000 0.463 0.750 1
Te1 0.000 0.382 0.525 1
Mo1 0.000 0.000 0.000 1
Se1 0.000 0.063 0.750 1
# final energy: -103.69 eV/cell



Entry 5:
# RbAgTe3Mo | the Open Quantum Materials Database | PBE-GGA | optimized geometry
data_RbAgTe3Mo
_chemical_formula_sum 'Rb4 Ag4 Te12 Mo4'
_cell_length_a 4.144
_cell_length_b 16.531
_cell_length_c 10.858
_cell_angle_alpha 90.00
_cell_angle_beta 90.00
_cell_angle_gamma 90.00
_symmetry_space_group_name_H-M 'C m c m'
_symmetry_Int_Tables_number 63
_symmetry_space_group_name_Hall '-C 2c 2'
loop_
_atom_site_label
_atom_site_fract_x
_atom_site_fract_y
_atom_site_fract_z
_atom_site_occupancy
Rb1 0.000 0.238 0.250 1
Ag1 0.000 0.457 0.750 1
Te1 0.000 0.070 0.750 1
Te2 0.000 0.383 0.527 1
Mo1 0.000 0.000 0.000 1
# final energy: -101.62 eV/cell



Entry 6:
# ReAg2Mo | the Open Quantum Materials Database | PBE-GGA | optimized geometry
data_ReAg2Mo
_chemical_formula_sum 'Re4 Ag8 Mo4'
_cell_length_a 6.387
_cell_length_b 6.387
_cell_length_c 6.387
_cell_angle_alpha 90.00
_cell_angle_beta 90.00
_cell_angle_gamma 90.00
_symmetry_space_group_name_H-M 'F -4 3 m'
_symmetry_Int_Tables_number 216
_symmetry_space_group_name_Hall 'F -4 2 3'
loop_
_atom_site_label
_atom_site_fract_x
_atom_site_fract_y
_atom_site_fract_z
_atom_site_occupancy
Re1 0.000 0.000 0.000 1
Ag1 0.000 0.000 0.500 1
Ag2 0.250 0.250 0.750 1
Mo1 0.250 0.250 0.250 1
# energy of formation from the pure elements: 0.729 eV/atom



Entry 7:
# AgMo3S5 | the Open Quantum Materials Database | PBE-GGA | optimized geometry
data_AgMo3S5
_chemical_formula_sum 'Ag1 Mo3 S5'
_cell_length_a 5.5941
_cell_length_b 5.5941
_cell_length_c 6.9309
_cell_angle_alpha 90.00
_cell_angle_beta 90.00
_cell_angle_gamma 120.00
_symmetry_space_group_name_H-M 'P 6/m m m'
_symmetry_Int_Tables_number 191
_symmetry_space_group_name_Hall '-P 6 2'
loop_
_atom_site_label
_atom_site_fract_x
_atom_site_fract_y
_atom_site_fract_z
_atom_site_occupancy
Ag1 0.0000 0.0000 0.0000 1
Mo1 0.0000 0.5000 0.5000 1
S1 0.0000 0.0000 0.5000 1
S2 0.3333 0.6667 0.2365 1
# final energy: -56.46 eV/cell



Entry 8:
# Ag2MoS3 | the Open Quantum Materials Database | PBE-GGA | optimized geometry
data_Ag2MoS3
_chemical_formula_sum 'Ag8 Mo4 S12'
_cell_length_a 6.845
_cell_length_b 11.906
_cell_length_c 6.996
_cell_angle_alpha 90.00
_cell_angle_beta 110.08
_cell_angle_gamma 90.00
_symmetry_space_group_name_H-M 'C 1 c 1'
_symmetry_Int_Tables_number 9
loop_
_symmetry_equiv_pos_as_xyz
'x,y,z'
'x,-y,z+1/2'
'x+1/2,y+1/2,z'
'x+1/2,-y+1/2,z+1/2'
loop_
_atom_site_label
_atom_site_fract_x
_atom_site_fract_y
_atom_site_fract_z
_atom_site_occupancy
Ag1 0.000 0.071 0.000 1
Ag2 0.468 0.214 0.007 1
Mo1 0.447 0.079 0.478 1
S1 0.076 0.265 0.886 1
S2 0.084 0.441 0.325 1
S3 0.095 0.107 0.373 1
# final energy: -119.21 eV/cell



Entry 9:
# Ag3MoS4 | the Open Quantum Materials Database | PBE-GGA | optimized geometry
data_Ag3MoS4
_chemical_formula_sum 'Ag6 Mo2 S8'
_cell_length_a 5.781
_cell_length_b 5.781
_cell_length_c 11.175
_cell_angle_alpha 90.00
_cell_angle_beta 90.00
_cell_angle_gamma 90.00
_symmetry_space_group_name_H-M 'I -4 2 m'
_symmetry_Int_Tables_number 121
_symmetry_space_group_name_Hall 'I -4 2'
loop_
_atom_site_label
_atom_site_fract_x
_atom_site_fract_y
_atom_site_fract_z
_atom_site_occupancy
Ag1 0.000 0.000 0.000 1
Ag2 0.000 0.500 0.250 1
Mo1 0.000 0.000 0.500 1
S1 0.227 0.227 0.385 1
# final energy: -75.20 eV/cell



Entry 10:
# AgMoS2 | the Open Quantum Materials Database | PBE-GGA | optimized geometry
data_AgMoS2
_chemical_formula_sum 'Ag4 Mo4 S8'
_cell_length_a 6.903
_cell_length_b 7.450
_cell_length_c 6.550
_cell_angle_alpha 90.00
_cell_angle_beta 90.00
_cell_angle_gamma 90.00
_symmetry_space_group_name_H-M 'P n a 21'
_symmetry_Int_Tables_number 33
loop_
_symmetry_equiv_pos_as_xyz
'x,y,z'
'-x,-y,z+1/2'
'-x+1/2,y+1/2,z+1/2'
'x+1/2,-y+1/2,z'
loop_
_atom_site_label
_atom_site_fract_x
_atom_site_fract_y
_atom_site_fract_z
_atom_site_occupancy
Ag1 0.127 0.045 0.000 1
Mo1 0.037 0.622 0.003 1
S1 0.043 0.651 0.353 1
S2 0.153 0.148 0.378 1
# final energy: -89.41 eV/cell



Entry 11:
# TlAgMoSe2S | the Open Quantum Materials Database | PBE-GGA | optimized geometry
data_TlAgMoSe2S
_chemical_formula_sum 'Tl4 Ag4 Mo4 Se8 S4'
_cell_length_a 3.868
_cell_length_b 14.410
_cell_length_c 10.026
_cell_angle_alpha 90.00
_cell_angle_beta 90.00
_cell_angle_gamma 90.00
_symmetry_space_group_name_H-M 'C m c m'
_symmetry_Int_Tables_number 63
_symmetry_space_group_name_Hall '-C 2c 2'
loop_
_atom_site_label
_atom_site_fract_x
_atom_site_fract_y
_atom_site_fract_z
_atom_site_occupancy
Tl1 0.000 0.246 0.250 1
Ag1 0.000 0.049 0.750 1
Mo1 0.000 0.500 0.000 1
Se1 0.000 0.125 0.521 1
S1 0.000 0.438 0.750 1
# final energy: -112.30 eV/cell



Entry 12:
# TlAgMoSeS2 | the Open Quantum Materials Database | PBE-GGA | optimized geometry
data_TlAgMoSeS2
_chemical_formula_sum 'Tl4 Ag4 Mo4 Se4 S8'
_cell_length_a 3.377
_cell_length_b 16.312
_cell_length_c 9.961
_cell_angle_alpha 90.00
_cell_angle_beta 90.00
_cell_angle_gamma 90.00
_symmetry_space_group_name_H-M 'C m c m'
_symmetry_Int_Tables_number 63
_symmetry_space_group_name_Hall '-C 2c 2'
loop_
_atom_site_label
_atom_site_fract_x
_atom_site_fract_y
_atom_site_fract_z
_atom_site_occupancy
Tl1 0.000 0.182 0.250 1
Ag1 0.000 0.168 0.750 1
Mo1 0.000 0.500 0.000 1
Se1 0.000 0.467 0.750 1
S1 0.000 0.107 0.526 1
# final energy: -116.51 eV/cell



Entry 13:
# TlAgTe2MoS | the Open Quantum Materials Database | PBE-GGA | optimized geometry
data_TlAgTe2MoS
_chemical_formula_sum 'Tl4 Ag4 Te8 Mo4 S4'
_cell_length_a 4.055
_cell_length_b 15.117
_cell_length_c 10.126
_cell_angle_alpha 90.00
_cell_angle_beta 90.00
_cell_angle_gamma 90.00
_symmetry_space_group_name_H-M 'C m c m'
_symmetry_Int_Tables_number 63
_symmetry_space_group_name_Hall '-C 2c 2'
loop_
_atom_site_label
_atom_site_fract_x
_atom_site_fract_y
_atom_site_fract_z
_atom_site_occupancy
Tl1 0.000 0.246 0.250 1
Ag1 0.000 0.030 0.750 1
Te1 0.000 0.131 0.529 1
Mo1 0.000 0.500 0.000 1
S1 0.000 0.436 0.750 1
# final energy: -106.31 eV/cell



Entry 14:
# TlAgTeMoS2 | the Open Quantum Materials Database | PBE-GGA | optimized geometry
data_TlAgTeMoS2
_chemical_formula_sum 'Tl4 Ag4 Te4 Mo4 S8'
_cell_length_a 3.420
_cell_length_b 16.318
_cell_length_c 10.501
_cell_angle_alpha 90.00
_cell_angle_beta 90.00
_cell_angle_gamma 90.00
_symmetry_space_group_name_H-M 'C m c m'
_symmetry_Int_Tables_number 63
_symmetry_space_group_name_Hall '-C 2c 2'
loop_
_atom_site_label
_atom_site_fract_x
_atom_site_fract_y
_atom_site_fract_z
_atom_site_occupancy
Tl1 0.000 0.232 0.250 1
Ag1 0.000 0.438 0.750 1
Te1 0.000 0.080 0.750 1
Mo1 0.000 0.000 0.000 1
S1 0.000 0.393 0.528 1
# final energy: -113.24 eV/cell



Entry 15:
# TlAgMoS3 | the Open Quantum Materials Database | PBE-GGA | optimized geometry
data_TlAgMoS3
_chemical_formula_sum 'Tl4 Ag4 Mo4 S12'
_cell_length_a 3.378
_cell_length_b 16.230
_cell_length_c 9.557
_cell_angle_alpha 90.00
_cell_angle_beta 90.00
_cell_angle_gamma 90.00
_symmetry_space_group_name_H-M 'C m c m'
_symmetry_Int_Tables_number 63
_symmetry_space_group_name_Hall '-C 2c 2'
loop_
_atom_site_label
_atom_site_fract_x
_atom_site_fract_y
_atom_site_fract_z
_atom_site_occupancy
Tl1 0.000 0.172 0.250 1
Ag1 0.000 0.181 0.750 1
Mo1 0.000 0.500 0.000 1
S1 0.000 0.107 0.530 1
S2 0.000 0.469 0.750 1
# final energy: -119.69 eV/cell



Entry 16:
# ScAgMo2 | the Open Quantum Materials Database | PBE-GGA | optimized geometry
data_ScAgMo2
_chemical_formula_sum 'Sc4 Ag4 Mo8'
_cell_length_a 6.502
_cell_length_b 6.502
_cell_length_c 6.502
_cell_angle_alpha 90.00
_cell_angle_beta 90.00
_cell_angle_gamma 90.00
_symmetry_space_group_name_H-M 'F -4 3 m'
_symmetry_Int_Tables_number 216
_symmetry_space_group_name_Hall 'F -4 2 3'
loop_
_atom_site_label
_atom_site_fract_x
_atom_site_fract_y
_atom_site_fract_z
_atom_site_occupancy
Sc1 0.000 0.000 0.000 1
Ag1 0.250 0.250 0.250 1
Mo1 0.000 0.000 0.500 1
Mo2 0.250 0.250 0.750 1
# energy of formation from the pure elements: 0.221 eV/atom



Entry 17:
# TlAgTeMoSe2 | the Open Quantum Materials Database | PBE-GGA | optimized geometry
data_TlAgTeMoSe2
_chemical_formula_sum 'Tl4 Ag4 Te4 Mo4 Se8'
_cell_length_a 3.569
_cell_length_b 16.005
_cell_length_c 10.589
_cell_angle_alpha 90.00
_cell_angle_beta 90.00
_cell_angle_gamma 90.00
_symmetry_space_group_name_H-M 'C m c m'
_symmetry_Int_Tables_number 63
_symmetry_space_group_name_Hall '-C 2c 2'
loop_
_atom_site_label
_atom_site_fract_x
_atom_site_fract_y
_atom_site_fract_z
_atom_site_occupancy
Tl1 0.000 0.233 0.250 1
Ag1 0.000 0.441 0.750 1
Te1 0.000 0.078 0.750 1
Mo1 0.000 0.000 0.000 1
Se1 0.000 0.381 0.525 1
# final energy: -107.19 eV/cell



Entry 18:
# TlAgTe2MoSe | the Open Quantum Materials Database | PBE-GGA | optimized geometry
data_TlAgTe2MoSe
_chemical_formula_sum 'Tl4 Ag4 Te8 Mo4 Se4'
_cell_length_a 4.005
_cell_length_b 15.212
_cell_length_c 10.426
_cell_angle_alpha 90.00
_cell_angle_beta 90.00
_cell_angle_gamma 90.00
_symmetry_space_group_name_H-M 'C m c m'
_symmetry_Int_Tables_number 63
_symmetry_space_group_name_Hall '-C 2c 2'
loop_
_atom_site_label
_atom_site_fract_x
_atom_site_fract_y
_atom_site_fract_z
_atom_site_occupancy
Tl1 0.000 0.246 0.250 1
Ag1 0.000 0.458 0.750 1
Te1 0.000 0.369 0.524 1
Mo1 0.000 0.000 0.000 1
Se1 0.000 0.068 0.750 1
# final energy: -104.04 eV/cell



Entry 19:
# AgSnMo2 | the Open Quantum Materials Database | PBE-GGA | optimized geometry
data_AgSnMo2
_chemical_formula_sum 'Ag4 Sn4 Mo8'
_cell_length_a 6.542
_cell_length_b 6.542
_cell_length_c 6.542
_cell_angle_alpha 90.00
_cell_angle_beta 90.00
_cell_angle_gamma 90.00
_symmetry_space_group_name_H-M 'F -4 3 m'
_symmetry_Int_Tables_number 216
_symmetry_space_group_name_Hall 'F -4 2 3'
loop_
_atom_site_label
_atom_site_fract_x
_atom_site_fract_y
_atom_site_fract_z
_atom_site_occupancy
Ag1 0.000 0.000 0.000 1
Sn1 0.250 0.250 0.250 1
Mo1 0.000 0.000 0.500 1
Mo2 0.250 0.250 0.750 1
# final energy: -106.70 eV/cell



Entry 20:
# Ag2SnMo | the Open Quantum Materials Database | PBE-GGA | optimized geometry
data_Ag2SnMo
_chemical_formula_sum 'Ag8 Sn4 Mo4'
_cell_length_a 6.610
_cell_length_b 6.610
_cell_length_c 6.610
_cell_angle_alpha 90.00
_cell_angle_beta 90.00
_cell_angle_gamma 90.00
_symmetry_space_group_name_H-M 'F -4 3 m'
_symmetry_Int_Tables_number 216
_symmetry_space_group_name_Hall 'F -4 2 3'
loop_
_atom_site_label
_atom_site_fract_x
_atom_site_fract_y
_atom_site_fract_z
_atom_site_occupancy
Ag1 0.000 0.000 0.000 1
Ag2 0.250 0.250 0.250 1
Sn1 0.000 0.000 0.500 1
Mo1 0.250 0.250 0.750 1
# final energy: -75.19 eV/cell



Entry 21:
# AgSn2Mo | the Open Quantum Materials Database | PBE-GGA | optimized geometry
data_AgSn2Mo
_chemical_formula_sum 'Ag4 Sn8 Mo4'
_cell_length_a 6.955
_cell_length_b 6.955
_cell_length_c 6.955
_cell_angle_alpha 90.00
_cell_angle_beta 90.00
_cell_angle_gamma 90.00
_symmetry_space_group_name_H-M 'F -4 3 m'
_symmetry_Int_Tables_number 216
_symmetry_space_group_name_Hall 'F -4 2 3'
loop_
_atom_site_label
_atom_site_fract_x
_atom_site_fract_y
_atom_site_fract_z
_atom_site_occupancy
Ag1 0.000 0.000 0.000 1
Sn1 0.000 0.000 0.500 1
Sn2 0.250 0.250 0.750 1
Mo1 0.250 0.250 0.250 1
# final energy: -75.99 eV/cell



Entry 22:
# SrAgMo2 | the Open Quantum Materials Database | PBE-GGA | optimized geometry
data_SrAgMo2
_chemical_formula_sum 'Sr4 Ag4 Mo8'
_cell_length_a 6.792
_cell_length_b 6.792
_cell_length_c 6.792
_cell_angle_alpha 90.00
_cell_angle_beta 90.00
_cell_angle_gamma 90.00
_symmetry_space_group_name_H-M 'F -4 3 m'
_symmetry_Int_Tables_number 216
_symmetry_space_group_name_Hall 'F -4 2 3'
loop_
_atom_site_label
_atom_site_fract_x
_atom_site_fract_y
_atom_site_fract_z
_atom_site_occupancy
Sr1 0.000 0.000 0.000 1
Ag1 0.250 0.250 0.250 1
Mo1 0.000 0.000 0.500 1
Mo2 0.250 0.250 0.750 1
# final energy: -90.57 eV/cell



Entry 23:
# TaAgMo | the Open Quantum Materials Database | PBE-GGA | optimized geometry
data_TaAgMo
_chemical_formula_sum 'Ta4 Ag4 Mo4'
_cell_length_a 6.242
_cell_length_b 6.242
_cell_length_c 6.242
_cell_angle_alpha 90.00
_cell_angle_beta 90.00
_cell_angle_gamma 90.00
_symmetry_space_group_name_H-M 'F -4 3 m'
_symmetry_Int_Tables_number 216
_symmetry_space_group_name_Hall 'F -4 2 3'
loop_
_atom_site_label
_atom_site_fract_x
_atom_site_fract_y
_atom_site_fract_z
_atom_site_occupancy
Ta1 0.000 0.000 0.000 1
Ag1 0.250 0.250 0.750 1
Mo1 0.250 0.250 0.250 1
# energy above the most stable polymorph in this dataset: 0.000 eV per atom
# energy of formation from the pure elements: 1.225 eV/atom



Calculated magnetic moment, 2.0, 2.1, 2.0, 2.0, 2.2, 0.0, 3.3, 0.0, 0.4, 0.0, 2.0, 0.0, 2.0, 1.1, 0.0, 0.0, 1.6, 2.0, 0.0, 1.5, 1.8, 0.6, 0.2 μB per formula unit (same order as the records).